No. 1
Entry from Alexandria via LeMat-Bulk: an optimized crystal structure of BeCd2Ga (PBE-GGA).

Properties
energy of formation from the pure elements	1.71	eV per formula unit
crystal system	cubic
distance to the lowest polymorph of the same formula	0.52	eV per formula unit
magnetization	0.000	μB/f.u.

abc: 4.7411 4.7411 4.7411
angles: 60.00 60.00 60.00
Element x y z (fractional)
Be (0.0000, 0.0000, 0.0000)
Cd (0.2500, 0.2500, 0.2500)
Cd (0.7500, 0.7500, 0.7500)
Ga (0.5000, 0.5000, 0.5000)

=====

No. 2
Entry from Alexandria via LeMat-Bulk: an optimized crystal structure of BeCd2Ga2 (PBE-GGA).

Properties
energy of formation from the pure elements	1.86	eV per formula unit
crystal system	tetragonal
distance to the lowest polymorph of the same formula	0.65	eV per formula unit
magnetization	0.000	μB/f.u.

abc: 6.7288 6.7288 4.4931
angles: 90.00 90.00 90.00
Element x y z (fractional)
Be (0.0000, 0.0000, 0.0000)
Be (0.5000, 0.5000, 0.0000)
Cd (0.1715, 0.3285, 0.0000)
Cd (0.3285, 0.8285, 0.0000)
Cd (0.6715, 0.1715, 0.0000)
Cd (0.8285, 0.6715, 0.0000)
Ga (0.1463, 0.6463, 0.5000)
Ga (0.3537, 0.1463, 0.5000)
Ga (0.6463, 0.8537, 0.5000)
Ga (0.8537, 0.3537, 0.5000)

=====

No. 3
Entry from Alexandria via LeMat-Bulk: an optimized crystal structure of BeCd2Ga (PBE-GGA).

Properties
energy of formation from the pure elements	1.96	eV per formula unit
crystal system	trigonal
distance to the lowest polymorph of the same formula	0.77	eV per formula unit
magnetization	0.000	μB/f.u.

abc: 10.2968 10.2968 10.2968
angles: 16.75 16.75 16.75
Element x y z (fractional)
Be (0.0000, 0.0000, 0.0000)
Cd (0.0828, 0.0828, 0.0828)
Cd (0.9172, 0.9172, 0.9172)
Ga (0.5000, 0.5000, 0.5000)

=====

No. 4
Entry from Alexandria via LeMat-Bulk: an optimized crystal structure of BeCd2Ga (PBE-GGA).

Properties
energy of formation from the pure elements	1.20	eV per formula unit
crystal system	tetragonal
distance to the lowest polymorph of the same formula	0.00	eV per formula unit
magnetization	0.000	μB/f.u.

abc: 6.6051 6.6051 6.6051
angles: 96.17 96.17 141.72
Element x y z (fractional)
Be (0.0000, 0.0000, 0.0000)
Be (0.7500, 0.2500, 0.5000)
Cd (0.0009, 0.6250, 0.8759)
Cd (0.3750, 0.2509, 0.3759)
Cd (0.7491, 0.1250, 0.1241)
Cd (0.8750, 0.9991, 0.6241)
Ga (0.2500, 0.7500, 0.5000)
Ga (0.5000, 0.5000, 0.0000)

=====

No. 5
Entry from Alexandria via LeMat-Bulk: an optimized crystal structure of BeCdGa3 (PBE-GGA).

Properties
energy of formation from the pure elements	1.14	eV per formula unit
crystal system	cubic
distance to the lowest polymorph of the same formula	0.00	eV per formula unit
magnetization	0.000	μB/f.u.

abc: 4.5979 4.5979 4.5979
angles: 90.00 90.00 90.00
Element x y z (fractional)
Be (0.0000, 0.0000, 0.0000)
Cd (0.5000, 0.5000, 0.5000)
Ga (0.0000, 0.0000, 0.5000)
Ga (0.0000, 0.5000, 0.0000)
Ga (0.5000, 0.0000, 0.0000)

=====

No. 6
Entry from Alexandria via LeMat-Bulk: an optimized crystal structure of Be2Cd2Ga (PBE-GGA).

Properties
energy of formation from the pure elements	1.69	eV per formula unit
crystal system	tetragonal
distance to the lowest polymorph of the same formula	0.00	eV per formula unit
magnetization	0.000	μB/f.u.

abc: 8.8615 8.8615 8.8615
angles: 159.93 159.93 28.53
Element x y z (fractional)
Be (0.2500, 0.7500, 0.5000)
Be (0.7500, 0.2500, 0.5000)
Cd (0.1225, 0.1225, 0.0000)
Cd (0.8775, 0.8775, 0.0000)
Ga (0.5000, 0.5000, 0.0000)